Entry 1:
First-principles (PBE-GGA) data for crystalline Sm6Tl5Sn at its relaxed geometry, as listed in Alexandria via LeMat-Bulk. Values from VASP.

Computed properties:
Density of states at the Fermi level: 5.755 states/eV/f.u.
E_form: -0.428 eV/atom

Structure (Quantum ESPRESSO input):
```
&SYSTEM
  ibrav = 0, nat = 12, ntyp = 3
/
ATOMIC_SPECIES
Sm 150.36 Sm.upf
Tl 204.38 Tl.upf
Sn 118.71 Sn.upf
CELL_PARAMETERS angstrom
2.7287 -8.2121 0.0000
2.7287 8.2121 0.0000
0.0000 0.0000 7.6817
ATOMIC_POSITIONS angstrom
Sm 0.0000 0.0000 1.8784
Sm 0.0000 0.0000 5.8032
Sm 2.7287 2.7008 1.9281
Sm 2.7287 2.7008 5.7535
Sm 2.7287 -2.7008 1.9281
Sm 2.7287 -2.7008 5.7535
Tl 2.7287 5.4829 3.8408
Tl 2.7287 5.3845 0.0000
Tl 2.7287 0.0000 3.8408
Tl 2.7287 -5.3845 0.0000
Tl 2.7287 -5.4829 3.8408
Sn 2.7287 0.0000 0.0000
```



Entry 2:
First-principles (PBE-GGA) data for crystalline La3Sc at its relaxed geometry, as listed in Alexandria via LeMat-Bulk. Values from VASP.

Computed properties:
Density of states at the Fermi level: 7.120 states/eV/f.u.
E_form: 0.045 eV/atom

Structure (Quantum ESPRESSO input):
```
&SYSTEM
  ibrav = 0, nat = 4, ntyp = 2
/
ATOMIC_SPECIES
La 138.91 La.upf
Sc 44.96 Sc.upf
CELL_PARAMETERS angstrom
3.6968 0.0000 0.0000
0.0000 3.6968 0.0000
0.0000 0.0000 9.7994
ATOMIC_POSITIONS angstrom
La 0.0000 0.0000 0.0000
La 1.8484 1.8484 2.6299
La 1.8484 1.8484 7.1695
Sc 0.0000 0.0000 4.8997
```